A plane-wave DFT calculation with GGA-PBE was carried out for CaMgTi3 after structural relaxation.

```
5
Lattice="-4.0627 -0.7812 2.7919 -2.2964 -2.0667 -3.9199 1.7696 -4.4753 1.3228" Properties=species:S:1:pos:R:3 pbc="T T T"
Ca -2.2947 -3.6616 0.0974
Ti -2.0313 -0.3906 1.3959
Ti -1.1482 -1.0333 -1.9599
Ti 0.8848 -2.2377 0.6614
Mg 0.0000 0.0000 0.0000
```

Summary:
Energy of formation   5.66 eV/f.u.
Distance to the lowest polymorph of the same formula   0 meV per atom